(A)
Computed, not measured: an optimized crystal structure of ErTm2Mg at the PBE level of DFT.

a b c (Å): 5.503 6.918 6.918
angles (deg): 60.77 90.00 90.00
Fractional positions:
Tm (0.500, 0.665, 0.165)
Tm (0.000, 0.837, 0.837)
Tm (0.500, 0.166, 0.166)
Tm (0.500, 0.165, 0.665)
Er (0.500, 0.665, 0.665)
Er (0.000, 0.338, 0.338)
Mg (0.000, 0.834, 0.331)
Mg (0.000, 0.331, 0.834)

Calculated density: 7.7 Mg/m³
V: 28.73 Å³/atom


(B)
Computed, not measured: an optimized crystal structure of ErTm2Mg at the PBE level of DFT.

a b c (Å): 6.925 6.925 5.492
angles (deg): 90.00 90.00 120.07
Fractional positions:
Tm (0.337, 0.169, 0.750)
Tm (0.663, 0.831, 0.250)
Tm (0.169, 0.337, 0.250)
Tm (0.831, 0.663, 0.750)
Mg (0.334, 0.666, 0.750)
Mg (0.666, 0.334, 0.250)
Er (0.170, 0.830, 0.250)
Er (0.830, 0.170, 0.750)

Calculated density: 7.7 Mg/m³
V: 28.49 Å³/atom


(C)
Computed, not measured: an optimized crystal structure of ErTm2Mg at the PBE level of DFT.

a b c (Å): 5.503 6.900 6.900
angles (deg): 119.13 90.00 90.00
Fractional positions:
Er (0.250, 0.664, 0.337)
Er (0.750, 0.337, 0.664)
Tm (0.250, 0.668, 0.834)
Tm (0.250, 0.163, 0.835)
Tm (0.750, 0.835, 0.163)
Tm (0.750, 0.834, 0.668)
Mg (0.250, 0.161, 0.338)
Mg (0.750, 0.338, 0.161)

Calculated density: 7.7 Mg/m³
V: 28.61 Å³/atom


Which is the most stable structure? (B) is the most stable.


(A)
Computed, not measured: an optimized crystal structure of ErTmMg at the PBE level of DFT.

a b c (Å): 5.177 5.177 5.177
angles (deg): 60.00 60.00 60.00
Fractional positions:
Mg (0.000, 0.000, 0.000)
Tm (0.750, 0.750, 0.750)
Er (0.250, 0.250, 0.250)

Calculated density: 6.1 Mg/m³
V: 32.71 Å³/atom


(B)
Computed, not measured: an optimized crystal structure of ErTmMg at the PBE level of DFT.

a b c (Å): 8.801 8.801 5.415
angles (deg): 90.00 90.00 156.56
Fractional positions:
Tm (0.226, 0.774, 0.250)
Tm (0.774, 0.226, 0.750)
Er (0.098, 0.902, 0.750)
Er (0.902, 0.098, 0.250)
Mg (0.563, 0.437, 0.250)
Mg (0.437, 0.563, 0.750)

Calculated density: 7.2 Mg/m³
V: 27.81 Å³/atom


Which is the most stable structure? (B) is the most stable.


(A)
Computed, not measured: an optimized crystal structure of Y3Er2Mg3 at the PBE level of DFT.

a b c (Å): 5.546 6.833 6.833
angles (deg): 62.60 90.00 90.00
Fractional positions:
Mg (0.000, 0.357, 0.811)
Mg (0.000, 0.811, 0.357)
Mg (0.500, 0.163, 0.163)
Y (0.500, 0.664, 0.168)
Y (0.000, 0.846, 0.846)
Y (0.500, 0.168, 0.664)
Er (0.000, 0.325, 0.325)
Er (0.500, 0.666, 0.666)

Calculated density: 4.9 Mg/m³
V: 28.73 Å³/atom


(B)
Computed, not measured: an optimized crystal structure of Y3Er2Mg3 at the PBE level of DFT.

a b c (Å): 6.854 5.513 6.885
angles (deg): 90.00 118.97 90.00
Fractional positions:
Mg (0.337, 0.500, 0.164)
Mg (0.833, 0.500, 0.662)
Mg (0.661, 0.000, 0.839)
Y (0.160, 0.000, 0.840)
Y (0.170, 0.000, 0.337)
Y (0.835, 0.500, 0.157)
Er (0.661, 0.000, 0.340)
Er (0.344, 0.500, 0.661)

Calculated density: 4.9 Mg/m³
V: 28.45 Å³/atom


(C)
Computed, not measured: an optimized crystal structure of Y3Er2Mg3 at the PBE level of DFT.

a b c (Å): 6.917 6.917 5.557
angles (deg): 90.00 90.00 120.00
Site moments in Bohr magnetons follow the coordinates.
Fractional positions:
Mg (0.163, 0.326, 0.000)  0.01
Mg (0.674, 0.837, 0.000)  0.01
Mg (0.163, 0.837, 0.000)  0.01
Er (0.333, 0.667, 0.500)  0.06
Er (0.667, 0.333, 0.000)  0.12
Y (0.832, 0.664, 0.500)  0.05
Y (0.336, 0.168, 0.500)  0.06
Y (0.832, 0.168, 0.500)  0.05

Calculated density: 4.9 Mg/m³
V: 28.78 Å³/atom


Which is the most stable structure? (B) is the most stable.


(A)
Computed, not measured: an optimized crystal structure of ErMo at the PBE level of DFT.

a b c (Å): 4.028 4.028 4.028
angles (deg): 60.00 60.00 60.00
Fractional positions:
Er (0.000, 0.000, 0.000)
Mo (0.500, 0.500, 0.500)

Calculated density: 9.5 Mg/m³
V: 23.11 Å³/atom


(B)
Computed, not measured: an optimized crystal structure of ErMo at the PBE level of DFT.

a b c (Å): 4.526 4.526 4.526
angles (deg): 60.00 60.00 60.00
Site moments in Bohr magnetons follow the coordinates.
Fractional positions:
Er (0.000, 0.000, 0.000)  0.49
Mo (0.250, 0.250, 0.250)  2.49

Calculated density: 6.7 Mg/m³
V: 32.77 Å³/atom


Which is the most stable structure? (A) is the most stable.


(A)
Computed, not measured: an optimized crystal structure of Er2Mo at the PBE level of DFT.

a b c (Å): 5.867 5.867 5.867
angles (deg): 60.00 60.00 60.00
Fractional positions:
Er (0.625, 0.625, 0.125)
Er (0.625, 0.125, 0.625)
Er (0.125, 0.625, 0.625)
Er (0.625, 0.625, 0.625)
Mo (0.250, 0.250, 0.250)
Mo (0.000, 0.000, 0.000)

Calculated density: 10.0 Mg/m³
V: 23.80 Å³/atom


(B)
Computed, not measured: an optimized crystal structure of Er2Mo at the PBE level of DFT.

a b c (Å): 8.125 8.125 8.125
angles (deg): 60.00 60.00 60.00
Site moments in Bohr magnetons follow the coordinates.
Fractional positions:
Er (0.375, 0.375, 0.375)  0.18
Er (0.875, 0.375, 0.375)  0.16
Er (0.375, 0.375, 0.875)  0.17
Er (0.375, 0.875, 0.375)  0.20
Mo (0.250, 0.250, 0.250)  0.16
Mo (0.500, 0.500, 0.500)  0.16

Calculated density: 3.8 Mg/m³
V: 63.22 Å³/atom


Which is the most stable structure? (A) is the most stable.


(A)
Computed, not measured: an optimized crystal structure of ErNbMo at the PBE level of DFT.

a b c (Å): 4.573 4.573 4.573
angles (deg): 60.00 60.00 60.00
Fractional positions:
Nb (0.000, 0.000, 0.000)
Er (0.250, 0.250, 0.250)
Mo (0.750, 0.750, 0.750)

Calculated density: 8.7 Mg/m³
V: 22.54 Å³/atom


(B)
Computed, not measured: an optimized crystal structure of ErNbMo at the PBE level of DFT.

a b c (Å): 4.606 4.606 4.606
angles (deg): 60.00 60.00 60.00
Fractional positions:
Mo (0.250, 0.250, 0.250)
Er (0.000, 0.000, 0.000)
Nb (0.750, 0.750, 0.750)

Calculated density: 8.6 Mg/m³
V: 23.03 Å³/atom


Which is the most stable structure? (A) is the most stable.


(A)
Computed, not measured: an optimized crystal structure of ErMoPd at the PBE level of DFT.

a b c (Å): 4.579 4.579 4.579
angles (deg): 60.00 60.00 60.00
Fractional positions:
Mo (0.250, 0.250, 0.250)
Er (0.000, 0.000, 0.000)
Pd (0.750, 0.750, 0.750)

Calculated density: 9.0 Mg/m³
V: 22.63 Å³/atom


(B)
Computed, not measured: an optimized crystal structure of ErMoPd at the PBE level of DFT.

a b c (Å): 4.525 4.525 4.525
angles (deg): 60.00 60.00 60.00
Site moments in Bohr magnetons follow the coordinates.
Fractional positions:
Pd (0.750, 0.750, 0.750)  0.20
Mo (0.500, 0.500, 0.500)  1.48
Er (0.000, 0.000, 0.000)  0.06

Calculated density: 9.4 Mg/m³
V: 21.84 Å³/atom


Which is the most stable structure? (B) is the most stable.


(A)
Computed, not measured: an optimized crystal structure of ErZnMo at the PBE level of DFT.

a b c (Å): 4.475 4.475 4.475
angles (deg): 60.00 60.00 60.00
Site moments in Bohr magnetons follow the coordinates.
Fractional positions:
Zn (0.000, 0.000, 0.000)  0.00
Er (0.250, 0.250, 0.250)  0.00
Mo (0.750, 0.750, 0.750)  0.49

Calculated density: 8.6 Mg/m³
V: 21.12 Å³/atom


(B)
Computed, not measured: an optimized crystal structure of ErZnMo at the PBE level of DFT.

a b c (Å): 4.673 4.673 4.673
angles (deg): 60.00 60.00 60.00
Fractional positions:
Mo (0.250, 0.250, 0.250)
Er (0.000, 0.000, 0.000)
Zn (0.750, 0.750, 0.750)

Calculated density: 7.6 Mg/m³
V: 24.05 Å³/atom


Which is the most stable structure? (A) is the most stable.


(A)
Computed, not measured: an optimized crystal structure of NaErNO at the PBE level of DFT.

a b c (Å): 6.421 7.700 5.714
angles (deg): 90.00 90.00 90.00
Fractional positions:
Na (0.429, 0.112, 0.517)
Na (0.071, 0.112, 0.017)
Na (0.929, 0.888, 0.517)
Na (0.571, 0.888, 0.017)
Er (0.077, 0.619, 0.979)
Er (0.423, 0.619, 0.479)
Er (0.577, 0.381, 0.979)
Er (0.923, 0.381, 0.479)
N (0.579, 0.844, 0.605)
N (0.421, 0.156, 0.105)
N (0.079, 0.156, 0.605)
N (0.921, 0.844, 0.105)
O (0.395, 0.601, 0.102)
O (0.895, 0.399, 0.102)
O (0.605, 0.399, 0.602)
O (0.105, 0.601, 0.602)

Calculated density: 5.2 Mg/m³
V: 17.66 Å³/atom


(B)
Computed, not measured: an optimized crystal structure of NaErNO at the PBE level of DFT.

a b c (Å): 4.824 4.824 4.554
angles (deg): 90.00 90.00 90.00
Fractional positions:
Er (0.750, 0.250, 0.500)
Er (0.250, 0.750, 0.500)
N (0.250, 0.250, 0.500)
N (0.750, 0.750, 0.500)
Na (0.250, 0.250, 0.001)
Na (0.750, 0.750, 0.999)
O (0.250, 0.750, 0.000)
O (0.750, 0.250, 0.000)

Calculated density: 6.9 Mg/m³
V: 13.25 Å³/atom


(C)
Computed, not measured: an optimized crystal structure of NaErNO at the PBE level of DFT.

a b c (Å): 3.752 4.674 7.267
angles (deg): 90.00 90.00 90.00
Fractional positions:
O (0.500, 0.438, 0.180)
O (0.500, 0.938, 0.820)
Er (0.000, 0.438, 0.324)
Er (0.000, 0.938, 0.676)
N (0.000, 0.939, 0.362)
N (0.000, 0.439, 0.638)
Na (0.500, 0.439, 0.862)
Na (0.500, 0.939, 0.138)

Calculated density: 5.7 Mg/m³
V: 15.93 Å³/atom


(D)
Computed, not measured: an optimized crystal structure of NaErNO at the PBE level of DFT.

a b c (Å): 4.080 4.615 6.723
angles (deg): 90.00 90.00 90.00
Fractional positions:
Na (0.000, 0.938, 0.674)
Na (0.000, 0.438, 0.326)
N (0.000, 0.438, 0.676)
N (0.000, 0.938, 0.324)
O (0.500, 0.439, 0.141)
O (0.500, 0.939, 0.859)
Er (0.500, 0.939, 0.181)
Er (0.500, 0.439, 0.819)

Calculated density: 5.8 Mg/m³
V: 15.83 Å³/atom


Which is the most stable structure? (C) is the most stable.


(A)
Computed, not measured: an optimized crystal structure of NaErNO at the PBE level of DFT.

a b c (Å): 4.827 4.827 4.552
angles (deg): 90.00 90.00 90.00
Site moments in Bohr magnetons follow the coordinates.
Fractional positions:
O (0.500, 0.500, 0.000)  0.21
O (0.000, 0.000, 0.000)  0.21
N (0.500, 0.000, 0.503)  0.51
N (0.000, 0.500, 0.497)  0.51
Er (0.000, 0.000, 0.500)  -0.06
Er (0.500, 0.500, 0.500)  -0.06
Na (0.000, 0.500, 0.997)  0.01
Na (0.500, 0.000, 0.003)  0.01

Calculated density: 6.9 Mg/m³
V: 13.26 Å³/atom


(B)
Computed, not measured: an optimized crystal structure of NaErNO at the PBE level of DFT.

a b c (Å): 4.755 6.703 8.074
angles (deg): 90.00 90.00 90.00
Site moments in Bohr magnetons follow the coordinates.
Fractional positions:
O (0.554, 0.072, 0.639)  0.23
O (0.554, 0.572, 0.361)  0.22
O (0.054, 0.928, 0.361)  0.23
O (0.054, 0.428, 0.639)  0.22
N (0.546, 0.598, 0.890)  0.44
N (0.046, 0.902, 0.890)  0.44
N (0.546, 0.098, 0.110)  0.43
N (0.046, 0.402, 0.110)  0.44
Na (0.556, 0.405, 0.603)  0.00
Na (0.056, 0.095, 0.603)  0.00
Na (0.056, 0.595, 0.397)  0.00
Na (0.556, 0.905, 0.397)  0.00
Er (0.047, 0.569, 0.861)  0.03
Er (0.047, 0.069, 0.139)  0.04
Er (0.547, 0.431, 0.139)  0.03
Er (0.547, 0.931, 0.861)  0.04

Calculated density: 5.7 Mg/m³
V: 16.08 Å³/atom


(C)
Computed, not measured: an optimized crystal structure of NaErNO at the PBE level of DFT.

a b c (Å): 3.717 3.717 8.290
angles (deg): 90.00 90.00 90.00
Site moments in Bohr magnetons follow the coordinates.
Fractional positions:
Er (0.000, 0.500, 0.138)  -0.02
Er (0.500, 0.000, 0.862)  -0.02
Na (0.500, 0.500, 0.500)  -0.01
Na (0.000, 0.000, 0.500)  -0.01
O (0.000, 0.000, 0.000)  0.04
O (0.500, 0.500, 0.000)  0.04
N (0.500, 0.000, 0.314)  0.66
N (0.000, 0.500, 0.686)  0.66

Calculated density: 6.4 Mg/m³
V: 14.31 Å³/atom


Which is the most stable structure? (A) is the most stable.